A plane-wave DFT calculation with GGA-PBE was carried out for crystalline Na5In2Hg2 at its relaxed geometry.

Calculated values
Energy relative to the elements, eV/atom: -0.130

a b c (Å): 11.0673 11.0673 11.0673
angles (deg): 57.53 148.93 132.87
Positions (direct):
1 Na 0.1020 0.0843 0.1863
2 Na 0.1020 0.4157 0.5176
3 Na 0.2561 0.0586 0.6975
4 Na 0.3611 0.5586 0.3025
5 Na 0.5885 0.8142 0.1022
6 Na 0.5885 0.9863 0.2744
7 Na 0.7120 0.3142 0.7256
8 Na 0.7120 0.4863 0.8978
9 Na 0.8980 0.5843 0.4824
10 Na 0.8980 0.9157 0.8137
11 In 0.2401 0.4154 0.9653
12 In 0.2401 0.7748 0.3247
13 In 0.4501 0.2748 0.0347
14 In 0.4501 0.9154 0.6753
15 Hg 0.0034 0.7111 0.7923
16 Hg 0.6783 0.1783 0.5000
17 Hg 0.6783 0.6783 0.0000
18 Hg 0.9188 0.2111 0.2077

***

A plane-wave DFT calculation with GGA-PBE was carried out for crystalline Pm5PuGe3 at its relaxed geometry.

Calculated values
Energy relative to the elements, eV/atom: -0.518

a b c (Å): 9.2059 9.2059 6.3713
angles (deg): 90.00 90.00 120.00
Positions (direct):
1 Pm 0.0000 0.3224 0.2500
2 Pm 0.0000 0.6776 0.7500
3 Pm 0.3224 0.0000 0.2500
4 Pm 0.3224 0.3224 0.7500
5 Pm 0.3333 0.6667 0.0000
6 Pm 0.3333 0.6667 0.5000
7 Pm 0.6667 0.3333 0.0000
8 Pm 0.6667 0.3333 0.5000
9 Pm 0.6776 0.0000 0.7500
10 Pm 0.6776 0.6776 0.2500
11 Pu 0.0000 0.0000 0.0000
12 Pu 0.0000 0.0000 0.5000
13 Ge 0.0000 0.3409 0.7500
14 Ge 0.0000 0.6591 0.2500
15 Ge 0.3409 0.0000 0.7500
16 Ge 0.3409 0.3409 0.2500
17 Ge 0.6591 0.0000 0.2500
18 Ge 0.6591 0.6591 0.7500

***

A plane-wave DFT calculation with GGA-PBE was carried out for crystalline TiTc2Mo2 at its relaxed geometry.

Calculated values
Energy relative to the elements, eV/atom: -0.135
E above lowest polymorph, kJ per mole of atoms: 0.0

a b c (Å): 6.7974 6.7974 2.7526
angles (deg): 98.09 98.09 37.40
Positions (direct):
1 Ti 0.0000 0.0000 0.0000
2 Tc 0.4005 0.4005 0.6055
3 Tc 0.5995 0.5995 0.3945
4 Mo 0.1988 0.1988 0.7973
5 Mo 0.8012 0.8012 0.2027

***

A plane-wave DFT calculation with GGA-PBE was carried out for crystalline Tm2Zn5Ni at its relaxed geometry.

Calculated values
Energy relative to the elements, eV/atom: -0.316

a b c (Å): 8.3076 8.3076 8.9835
angles (deg): 90.00 90.00 152.34
Positions (direct):
1 Tm 0.0000 0.0000 0.0000
2 Tm 0.0000 0.0000 0.5000
3 Tm 0.1807 0.8193 0.7500
4 Tm 0.8193 0.1807 0.2500
5 Zn 0.1992 0.8008 0.1064
6 Zn 0.1992 0.8008 0.3936
7 Zn 0.3617 0.6383 0.0245
8 Zn 0.3617 0.6383 0.4755
9 Zn 0.4000 0.6000 0.7500
10 Zn 0.6000 0.4000 0.2500
11 Zn 0.6383 0.3617 0.5245
12 Zn 0.6383 0.3617 0.9755
13 Zn 0.8008 0.1992 0.6064
14 Zn 0.8008 0.1992 0.8936
15 Ni 0.4489 0.5511 0.2500
16 Ni 0.5511 0.4489 0.7500

***

A plane-wave DFT calculation with GGA-PBE was carried out for crystalline Pr2HgAs at its relaxed geometry.

Calculated values
Energy relative to the elements, eV/atom: -0.819
E above lowest polymorph, kJ per mole of atoms: 10.3

a b c (Å): 3.8829 3.8829 7.1393
angles (deg): 90.00 90.00 90.00
Positions (direct):
1 Pr 0.0000 0.0000 0.2311
2 Pr 0.0000 0.0000 0.7689
3 Hg 0.5000 0.5000 0.5000
4 As 0.5000 0.5000 0.0000

***

A plane-wave DFT calculation with GGA-PBE was carried out for crystalline Zr3Zn8Tc at its relaxed geometry.

Calculated values
Energy relative to the elements, eV/atom: -0.246
E above lowest polymorph, kJ per mole of atoms: 0.8

a b c (Å): 5.1483 5.1483 8.3703
angles (deg): 90.00 90.00 120.00
Positions (direct):
1 Zr 0.0000 0.0000 0.0000
2 Zr 0.0000 0.0000 0.3744
3 Zr 0.3333 0.6667 0.8445
4 Zn 0.0115 0.5057 0.1845
5 Zn 0.3247 0.1624 0.6747
6 Zn 0.4943 0.5057 0.1845
7 Zn 0.4943 0.9885 0.1845
8 Zn 0.6667 0.3333 0.4312
9 Zn 0.6667 0.3333 0.9285
10 Zn 0.8376 0.1624 0.6747
11 Zn 0.8376 0.6753 0.6747
12 Tc 0.3333 0.6667 0.5022

***

A plane-wave DFT calculation with GGA-PBE was carried out for crystalline BaPdS at its relaxed geometry.

Calculated values
Formation energy without anion corrections, meV per atom: -1219

a b c (Å): 4.4743 6.2098 6.3113
angles (deg): 87.94 89.29 69.01
Positions (direct):
1 Ba 0.1437 0.2245 0.2473
2 Ba 0.8563 0.7755 0.7527
3 Pd 0.4201 0.6682 0.2935
4 Pd 0.5799 0.3318 0.7065
5 S 0.1379 0.2138 0.7460
6 S 0.8621 0.7862 0.2540

***

A plane-wave DFT calculation with GGA-PBE was carried out for crystalline Er5U2O12 at its relaxed geometry.

Calculated values
Formation energy without anion corrections, meV per atom: -3361

a b c (Å): 6.8571 6.8571 7.7894
angles (deg): 106.04 106.04 52.66
Positions (direct):
1 Er 0.0000 0.0000 0.0000
2 Er 0.2959 0.2959 0.1368
3 Er 0.3134 0.3134 0.7124
4 Er 0.6866 0.6866 0.2876
5 Er 0.7041 0.7041 0.8632
6 U 0.2226 0.7774 0.5000
7 U 0.7774 0.2226 0.5000
8 O 0.0224 0.0224 0.2907
9 O 0.0835 0.5615 0.3821
10 O 0.1043 0.5944 0.9426
11 O 0.4056 0.8957 0.0574
12 O 0.4385 0.9165 0.6179
13 O 0.4919 0.4919 0.6819
14 O 0.5081 0.5081 0.3181
15 O 0.5615 0.0835 0.3821
16 O 0.5944 0.1043 0.9426
17 O 0.8957 0.4056 0.0574
18 O 0.9165 0.4385 0.6179
19 O 0.9776 0.9776 0.7093

***

Please write out number 4 again, unchanged.
A plane-wave DFT calculation with GGA-PBE was carried out for crystalline Tm2Zn5Ni at its relaxed geometry.

Calculated values
Energy relative to the elements, eV/atom: -0.316

a b c (Å): 8.3076 8.3076 8.9835
angles (deg): 90.00 90.00 152.34
Positions (direct):
1 Tm 0.0000 0.0000 0.0000
2 Tm 0.0000 0.0000 0.5000
3 Tm 0.1807 0.8193 0.7500
4 Tm 0.8193 0.1807 0.2500
5 Zn 0.1992 0.8008 0.1064
6 Zn 0.1992 0.8008 0.3936
7 Zn 0.3617 0.6383 0.0245
8 Zn 0.3617 0.6383 0.4755
9 Zn 0.4000 0.6000 0.7500
10 Zn 0.6000 0.4000 0.2500
11 Zn 0.6383 0.3617 0.5245
12 Zn 0.6383 0.3617 0.9755
13 Zn 0.8008 0.1992 0.6064
14 Zn 0.8008 0.1992 0.8936
15 Ni 0.4489 0.5511 0.2500
16 Ni 0.5511 0.4489 0.7500